The following is a DFT calculation (PBE) of a relaxed TaVHIr2 crystal.

Cell: 3.9550 3.9550 3.9707 Å, 90.00 90.00 90.00°
With the nearest neighbours (Å) after each atom.
Fractional positions:
1 Ta 0.5000 0.5000 0.5000  4 V 2.80, 8 Ir 2.80
2 Ir 0.0000 0.5000 0.0000  2 H 1.98
3 Ir 0.5000 0.0000 0.0000  2 H 1.98
4 H 0.0000 0.0000 0.0000  4 Ir 1.98, 2 V 1.99
5 V 0.0000 0.0000 0.5000  2 H 1.99

Calculated values
Its total energy is -8.7844 eV per atom. The density is 16.5 g/cm3.